Material: Rb2Na17
Method: DFT, GGA-PBE
State: relaxed

Space-group type: R-3m (166)
Total moment: 0.0 μB per cell
V: 817.0 Å³/cell

Cell and atoms, written as extended XYZ:
```
19
Lattice="6.221 3.592 6.093 -6.221 3.592 6.093 0.000 -7.184 6.093" Properties=species:S:1:pos:R:3 pbc="T T T"
Rb 0.000 0.000 2.900
Rb 0.000 0.000 15.380
Na -3.111 -1.796 6.093
Na 0.000 -3.539 5.810
Na -3.065 1.770 5.810
Na -1.832 -3.172 9.140
Na -3.663 0.000 9.140
Na -3.065 -1.770 12.470
Na 0.000 0.000 7.378
Na -3.111 1.796 12.187
Na 1.832 -3.172 9.140
Na 0.000 3.592 6.093
Na -1.832 3.172 9.140
Na 0.000 0.000 10.902
Na 3.065 1.770 5.810
Na 3.663 0.000 9.140
Na 1.832 3.172 9.140
Na 3.065 -1.770 12.470
Na 0.000 3.539 12.470
```

=====

Material: Rb8Na
Method: DFT, GGA-PBE
State: relaxed

Space-group type: I4/mmm (139)
Total moment: 0.0 μB per cell
V: 755.9 Å³/cell

Cell and atoms, written as extended XYZ:
```
9
Lattice="-7.338 7.338 3.510 7.338 -7.338 3.510 7.338 7.338 -3.510" Properties=species:S:1:pos:R:3 pbc="T T T"
Rb 4.771 0.000 0.000
Rb 9.904 0.000 0.000
Rb 0.000 4.771 0.000
Rb 5.017 5.017 0.000
Rb 2.321 -2.321 3.510
Rb -2.321 2.321 3.510
Rb 2.321 2.321 3.510
Rb 0.000 9.904 0.000
Na 0.000 0.000 0.000
```

=====

Material: Rb7Na
Method: DFT, GGA-PBE
State: relaxed

Space-group type: R-3m (166)
Total moment: 0.0 μB per cell
V: 661.5 Å³/cell

Cell and atoms, written as extended XYZ:
```
8
Lattice="3.889 2.245 12.627 -3.889 2.245 12.627 0.000 -4.490 12.627" Properties=species:S:1:pos:R:3 pbc="T T T"
Rb 0.000 0.000 0.000
Rb 0.000 0.000 4.980
Rb 0.000 0.000 9.579
Rb 0.000 0.000 14.551
Rb 0.000 0.000 23.332
Rb 0.000 0.000 28.303
Rb 0.000 0.000 32.902
Na 0.000 0.000 18.941
```

=====

Material: Rb4Na
Method: DFT, GGA-PBE
State: relaxed

Space-group type: Ibam (72)
Total moment: 0.0 μB per cell
V: 797.9 Å³/cell

Cell and atoms, written as extended XYZ:
```
10
Lattice="-4.886 10.246 3.984 4.886 -10.246 3.984 4.886 10.246 -3.984" Properties=species:S:1:pos:R:3 pbc="T T T"
Rb 6.411 1.727 0.000
Rb 1.479 3.685 0.000
Rb 6.365 6.561 0.000
Rb 1.524 8.519 0.000
Rb 3.362 1.727 3.984
Rb -1.479 3.685 3.984
Rb 3.407 6.561 3.984
Rb -1.524 8.519 3.984
Na 0.000 0.000 1.992
Na 0.000 0.000 5.976
```

=====

Material: RbNa6
Method: DFT, GGA-PBE
State: relaxed

Space-group type: Pnma (62)
Total moment: 0.0 μB per cell
V: 1241.8 Å³/cell

Cell and atoms, written as extended XYZ:
```
28
Lattice="11.662 0.000 0.000 0.000 7.129 0.000 0.000 0.000 14.935" Properties=species:S:1:pos:R:3 pbc="T T T"
Rb 2.837 1.782 0.970
Rb 2.994 5.347 8.437
Rb 8.668 1.782 6.498
Rb 8.825 5.347 13.966
Na 0.617 5.347 1.348
Na 0.757 0.036 4.601
Na 0.757 3.529 4.601
Na 1.125 1.782 7.737
Na 1.648 5.347 12.777
Na 2.187 1.782 11.268
Na 3.644 5.347 3.800
Na 4.183 1.782 5.309
Na 4.706 5.347 0.270
Na 5.074 3.600 12.068
Na 5.074 7.094 12.068
Na 5.214 1.782 8.816
Na 6.448 5.347 6.120
Na 6.588 0.036 2.867
Na 6.588 3.529 2.867
Na 6.956 1.782 14.666
Na 7.479 5.347 9.626
Na 8.018 1.782 11.135
Na 9.475 5.347 3.667
Na 10.014 1.782 2.159
Na 10.537 5.347 7.198
Na 10.905 3.600 10.335
Na 10.905 7.094 10.335
Na 11.045 1.782 13.587
```

=====

Material: Rb5Na6
Method: DFT, GGA-PBE
State: relaxed

Space-group type: C2/m (12)
Total moment: 0.0 μB per cell
V: 678.7 Å³/cell

Cell and atoms, written as extended XYZ:
```
11
Lattice="4.998 -8.693 0.000 4.998 8.693 0.000 -2.644 0.000 7.810" Properties=species:S:1:pos:R:3 pbc="T T T"
Rb 0.000 0.000 0.000
Rb 3.677 5.953 3.905
Rb 4.998 3.798 0.000
Rb 4.998 -3.798 0.000
Rb 3.677 -5.953 3.905
Na 2.496 1.799 2.683
Na 1.644 0.000 6.002
Na 2.496 -1.799 2.683
Na 4.857 1.799 5.127
Na 5.709 0.000 1.809
Na 4.857 -1.799 5.127
```

=====

| no. | total DFT energy (no corrections) (eV per atom) | ΔE_f (eV/atom) |
| --- | --- | --- |
| 1 | -1.26 | 0.02 |
| 2 | -0.99 | 0.02 |
| 3 | -0.99 | 0.02 |
| 4 | -1.02 | 0.02 |
| 5 | -1.24 | 0.03 |
| 6 | -1.10 | 0.06 |